1.
5
Lattice="-5.985 -1.436 -1.909 2.222 -1.456 -5.871 0.662 -4.614 1.395" Properties=species:S:1:pos:R:3 comment="K2LiHgAs (GGA-PBE, relaxed)" ef_ev_per_atom=-0.310 space_group=P4/mmm polymorph_energy_ev_per_atom=0.0000 n_ef_per_ev_fu=1.1 final_energy_ev_per_atom=-2.122 mass_density_g_cm3=3.0 pbc="T T T"
K -2.993 -0.718 -0.954
K 1.111 -0.728 -2.936
Hg -1.551 -3.753 -3.193
As 0.000 0.000 0.000
Li 0.331 -2.307 0.697



2.
12
Lattice="-3.839 4.931 -1.186 -0.038 -1.556 -6.346 -4.373 -6.318 4.939" Properties=species:S:1:pos:R:3 comment="K2LiHgAs2 (GGA-PBE, relaxed)" ef_ev_per_atom=-0.375 space_group=Ibam n_ef_per_ev_fu=3.6 final_energy_ev_per_atom=-2.659 mass_density_g_cm3=4.4 pbc="T T T"
Li -0.009 -0.389 -1.587
Li -0.028 -1.167 -4.760
Hg -1.948 1.299 -5.353
Hg -1.929 2.077 -2.180
K -5.102 -2.601 -2.696
K -5.055 1.307 -3.654
K -3.147 -0.342 0.103
K -3.194 -4.251 1.061
As -2.214 -0.501 -3.228
As -6.035 -2.443 0.635
As -4.086 -5.748 -1.931
As -4.163 2.805 -0.663